No. 1
A plane-wave DFT calculation with PBE was carried out for crystalline LiTh3 at its relaxed geometry.

Offset from the most stable computed form: 0.026 eV per atom
Formation enthalpy at 0 K: 0.196 eV/atom

Geometry as extended XYZ:
```
4
Lattice="-2.439 2.439 4.960 2.439 -2.439 4.960 2.439 2.439 -4.960" Properties=species:S:1:pos:R:3 pbc="T T T"
Li 0.000 0.000 0.000
Th 2.439 0.000 2.480
Th 0.000 0.000 4.960
Th 0.000 2.439 2.480
```



No. 2
A plane-wave DFT calculation with PBE was carried out for crystalline Ho3TaP2Rh9 at its relaxed geometry.

Formation enthalpy at 0 K: -0.595 eV/atom

Geometry as extended XYZ:
```
15
Lattice="5.888 0.000 0.000 -2.944 5.099 0.000 0.000 0.000 9.265" Properties=species:S:1:pos:R:3 pbc="T T T"
Ho 0.000 0.000 0.000
Ho 0.000 3.400 5.707
Ho 2.944 1.700 3.558
Ta 0.000 0.000 4.633
P 0.000 3.400 1.436
P 2.944 1.700 7.830
Rh -1.472 2.550 0.000
Rh 0.000 1.632 2.747
Rh -1.531 4.283 2.747
Rh 1.414 0.816 6.519
Rh 2.944 0.000 0.000
Rh 1.472 2.550 0.000
Rh 1.531 4.283 2.747
Rh 4.475 0.816 6.519
Rh 2.944 3.467 6.519
```



No. 3
A plane-wave DFT calculation with PBE was carried out for crystalline Y2Be2V at its relaxed geometry.

Formation enthalpy at 0 K: 0.261 eV/atom

Geometry as extended XYZ:
```
10
Lattice="6.837 0.000 0.000 0.000 6.837 0.000 0.000 0.000 4.168" Properties=species:S:1:pos:R:3 pbc="T T T"
Y 1.264 2.155 0.000
Y 2.155 5.573 0.000
Y 4.682 1.264 0.000
Y 5.573 4.682 0.000
Be 0.768 4.187 2.084
Be 2.650 0.768 2.084
Be 4.187 6.068 2.084
Be 6.068 2.650 2.084
V 0.000 0.000 2.084
V 3.418 3.418 2.084
```



No. 4
A plane-wave DFT calculation with PBE was carried out for crystalline NaTaCd at its relaxed geometry.

Offset from the most stable computed form: 0.490 eV per atom
Formation enthalpy at 0 K: 0.628 eV/atom

Geometry as extended XYZ:
```
6
Lattice="3.718 0.000 0.000 0.000 3.718 0.000 0.000 0.000 11.425" Properties=species:S:1:pos:R:3 pbc="T T T"
Na 0.929 0.929 2.779
Na 2.788 2.788 8.647
Ta 0.929 0.929 10.973
Ta 2.788 2.788 0.452
Cd 0.929 2.788 5.713
Cd 2.788 0.929 5.713
```